Material: NaMgTlAs2
Method: DFT, PBE
State: optimized geometry

calculated density: 4.7 g/cm3
size of the total moment: 0.00 μB/cell
formation enthalpy at 0 K: 0.57 eV/atom

Structure (CIF):
```
data_NaMgTlAs2
_space_group_name_H-M_alt 'P 4/m m m'
_space_group_IT_number 123
_space_group_name_Hall '-P 4 2'
_cell_length_a 5.199
_cell_length_b 5.199
_cell_length_c 5.248
_cell_angle_alpha 90.00
_cell_angle_beta 90.00
_cell_angle_gamma 90.00
loop_
_atom_site_label
_atom_site_fract_x
_atom_site_fract_y
_atom_site_fract_z
Na1 0.000 0.000 0.000
Mg1 0.500 0.500 0.500
Tl1 0.000 0.000 0.500
As1 0.000 0.500 0.000
```

=====

Material: Na2MgVAs
Method: DFT, PBE
State: optimized geometry

calculated density: 2.1 g/cm3
size of the total moment: 3.89 μB/cell
formation enthalpy at 0 K: 1.06 eV/atom

Structure (CIF):
```
data_Na2MgVAs
_space_group_name_H-M_alt 'P 4/m m m'
_space_group_IT_number 123
_space_group_name_Hall '-P 4 2'
_cell_length_a 5.396
_cell_length_b 5.396
_cell_length_c 5.294
_cell_angle_alpha 90.00
_cell_angle_beta 90.00
_cell_angle_gamma 90.00
loop_
_atom_site_label
_atom_site_fract_x
_atom_site_fract_y
_atom_site_fract_z
Na1 0.000 0.500 0.000
Mg1 0.000 0.000 0.500
V1 0.000 0.000 0.000
As1 0.500 0.500 0.500
```

=====

Material: MgNbAs
Method: DFT, PBE
State: optimized geometry

calculated density: 5.4 g/cm3
size of the total moment: 0.00 μB/cell
formation enthalpy at 0 K: -0.17 eV/atom

Structure (CIF):
```
data_MgNbAs
_space_group_name_H-M_alt 'R 3 m'
_space_group_IT_number 160
_space_group_name_Hall 'R 3 -2"'
_cell_length_a 3.5174
_cell_length_b 3.5174
_cell_length_c 16.6636
_cell_angle_alpha 90.00
_cell_angle_beta 90.00
_cell_angle_gamma 120.00
loop_
_atom_site_label
_atom_site_fract_x
_atom_site_fract_y
_atom_site_fract_z
Mg1 0.0000 0.0000 0.0000
Nb1 0.0000 0.0000 0.2007
As1 0.0000 0.0000 0.4403
```

=====

> Among the records above, which one has the highest formation enthalpy at 0 K?

Na2MgVAs

=====

> What is the size of the total moment in the second record?

3.89 μB/cell